Sc2ReHg PBE-GGA optimized geometry; calculated volume = 19.0 Å³ per atom; density of states at the Fermi level = 5.05 states/eV per cell; energy of formation from the pure elements = 0.213 eV per atom; space group = F-43m
1.0
4.753 0.000 0.000
2.376 4.116 0.000
2.376 1.372 3.881
Sc Re Hg
2 1 1
Direct
0.000 0.000 0.000
0.250 0.250 0.250
0.750 0.750 0.750
0.500 0.500 0.500